1.
Entry from the Alexandria database: Ba2LaRh after structural relaxation (PBE).

a = 5.512 Å, b = 15.093 Å, c = 4.441 Å
α = 90.00°, β = 90.00°, γ = 90.00°
Space group Cmmm (No. 65)
Unique sites:
Ba 0.000 0.147 0.000 x4
La 0.000 0.500 0.500 x2
Rh 0.000 0.000 0.500 x2

Values from the calculation:
ΔH_f (0 K): -0.76 eV/f.u.
density: 4.64 g/cm³
total magnetic moment: 0.00 μB per formula unit
energy relative to the lowest polymorph listed for this composition: 143.3 meV per atom

2.
Entry from the Alexandria database: CuBCl4 after structural relaxation (PBE).

a = 6.572 Å, b = 6.572 Å, c = 8.081 Å
α = 90.00°, β = 90.00°, γ = 90.00°
Space group P4_2/mmc (No. 131)
Unique sites:
Cu 0.000 0.000 0.000 x2
B 0.000 0.500 0.000 x2
Cl 0.215 0.289 0.000 x8

Values from the calculation:
E_form (uncorrected): -0.22 eV/atom
density: 2.06 g/cm³
total magnetic moment: 0.00 μB per formula unit
energy relative to the lowest polymorph listed for this composition: 484.4 meV per atom

3.
Entry from the Alexandria database: PmLu2Hf after structural relaxation (PBE).

a = 4.820 Å, b = 4.820 Å, c = 4.820 Å
α = 90.00°, β = 90.00°, γ = 90.00°
Space group P4/mmm (No. 123)
Unique sites:
Pm 0.000 0.000 0.000 x1
Lu 0.000 0.500 0.500 x2
Hf 0.500 0.500 0.000 x1

Values from the calculation:
ΔH_f (0 K): 0.57 eV/f.u.
density: 9.99 g/cm³
total magnetic moment: 0.00 μB per formula unit
energy relative to the lowest polymorph listed for this composition: 0.0 meV per atom